Ca3NdSm3S8 after structural relaxation. Source: Alexandria, functional PBE-GGA.

The structure in POSCAR format:
```
Ca3NdSm3S8
1.0
-6.139 -1.996 -4.796
-0.983 0.046 7.981
0.849 6.968 -3.987
S Sm Ca Nd
8 3 3 1
Direct
0.250 0.500 0.249
0.750 0.500 0.751
0.751 0.002 0.254
0.751 0.503 0.254
0.251 0.002 0.254
0.249 0.497 0.746
0.249 0.998 0.746
0.749 0.998 0.746
0.500 0.000 0.500
0.500 0.500 0.500
0.000 0.500 0.500
0.000 0.000 0.000
0.500 0.500 0.000
0.000 0.500 0.000
0.000 0.000 0.500
```

Calculated values
Magnetization (Bohr magnetons per cell): 0.00
Formation energy without anion corrections (eV/atom): -2.061
D(E_F) (states/eV per cell): 4.64

=====

CaNdSm4S8 after structural relaxation. Source: Alexandria, functional PBE-GGA.

The structure in POSCAR format:
```
CaNdSm4S8
1.0
-4.937 3.493 -5.629
-7.631 2.370 2.100
-1.821 8.062 0.537
S Sm Ca Nd
8 4 1 1
Direct
0.241 0.241 0.278
0.243 0.243 0.738
0.756 0.756 0.261
0.243 0.777 0.738
0.756 0.227 0.261
0.777 0.243 0.738
0.758 0.758 0.725
0.227 0.756 0.261
0.002 0.494 0.502
0.494 0.002 0.502
0.625 0.625 0.124
0.002 0.002 0.502
0.375 0.375 0.876
0.002 0.002 0.995
```

Calculated values
Magnetization (Bohr magnetons per cell): 0.00
Formation energy without anion corrections (eV/atom): -1.977
D(E_F) (states/eV per cell): 3.07

=====

CaNd4Sm3S8 after structural relaxation. Source: Alexandria, functional PBE-GGA.

The structure in POSCAR format:
```
CaNd4Sm3S8
1.0
8.071 0.000 0.000
0.000 8.092 0.009
-4.036 -4.031 5.711
Ca S Nd Sm
1 8 4 3
Direct
0.000 0.500 0.000
0.754 0.257 0.507
0.246 0.743 0.996
0.246 0.743 0.493
0.252 0.256 0.504
0.748 0.744 0.496
0.750 0.743 0.996
0.250 0.257 0.004
0.754 0.257 0.004
0.500 0.000 0.000
0.000 0.000 0.500
0.500 0.000 0.500
0.000 0.000 0.000
0.500 0.500 0.000
0.500 0.500 0.500
0.000 0.500 0.500
```

Calculated values
Magnetization (Bohr magnetons per cell): 0.00
Formation energy without anion corrections (eV/atom): -2.029
D(E_F) (states/eV per cell): 7.70

=====

Ca2NdSmS4 after structural relaxation. Source: Alexandria, functional PBE-GGA.

The structure in POSCAR format:
```
Ca2NdSmS4
1.0
4.008 0.000 0.000
0.000 6.933 0.117
0.000 -2.427 6.640
Sm S Nd Ca
1 4 1 2
Direct
0.000 0.000 0.000
0.000 0.245 0.745
0.500 0.249 0.253
0.500 0.751 0.747
0.000 0.755 0.255
0.500 0.500 0.000
0.500 0.000 0.500
0.000 0.500 0.500
```

Calculated values
Magnetization (Bohr magnetons per cell): 0.00
Formation energy without anion corrections (eV/atom): -2.058
D(E_F) (states/eV per cell): 3.22

=====

Sr2CaNdS4 after structural relaxation. Source: Alexandria, functional PBE-GGA.

The structure in POSCAR format:
```
Sr2CaNdS4
1.0
4.146 0.000 0.000
0.000 7.194 0.126
0.000 -2.514 6.784
Sr S Ca Nd
2 4 1 1
Direct
0.000 0.500 0.500
0.500 0.000 0.500
0.000 0.747 0.238
0.000 0.253 0.762
0.500 0.245 0.236
0.500 0.755 0.764
0.000 0.000 0.000
0.500 0.500 0.000
```

Calculated values
Magnetization (Bohr magnetons per cell): 0.00
Formation energy without anion corrections (eV/atom): -2.086
D(E_F) (states/eV per cell): 2.82

=====

Sr3CaNd3S8 after structural relaxation. Source: Alexandria, functional PBE-GGA.

The structure in POSCAR format:
```
Sr3CaNd3S8
1.0
-0.286 -1.390 -8.120
2.056 -6.095 5.155
-7.921 2.741 -0.190
S Nd Sr Ca
8 3 3 1
Direct
0.242 0.988 0.730
0.746 0.492 0.739
0.758 0.516 0.270
0.254 0.508 0.261
0.746 0.988 0.730
0.242 0.484 0.730
0.254 0.012 0.270
0.758 0.012 0.270
0.500 0.000 0.500
0.000 0.500 0.500
0.500 0.500 0.500
0.000 0.500 0.000
0.000 0.000 0.000
0.500 0.500 0.000
0.000 0.000 0.500
```

Calculated values
Magnetization (Bohr magnetons per cell): 0.00
Formation energy without anion corrections (eV/atom): -2.065
D(E_F) (states/eV per cell): 3.80

=====

SrCa2NdS4 after structural relaxation. Source: Alexandria, functional PBE-GGA.

The structure in POSCAR format:
```
SrCa2NdS4
1.0
4.089 0.000 0.000
0.000 7.093 -0.140
0.000 2.496 6.673
Ca S Sr Nd
2 4 1 1
Direct
0.000 0.000 0.000
0.500 0.000 0.500
0.000 0.241 0.260
0.500 0.244 0.747
0.000 0.759 0.740
0.500 0.756 0.253
0.500 0.500 0.000
0.000 0.500 0.500
```

Calculated values
Magnetization (Bohr magnetons per cell): 0.00
Formation energy without anion corrections (eV/atom): -2.081
D(E_F) (states/eV per cell): 2.72

=====

Ca2TbNdS4 after structural relaxation. Source: Alexandria, functional PBE-GGA.

The structure in POSCAR format:
```
Ca2TbNdS4
1.0
3.986 0.000 0.000
0.000 6.905 0.120
0.000 -2.414 6.595
Ca S Tb Nd
2 4 1 1
Direct
0.000 0.500 0.500
0.500 0.000 0.500
0.500 0.756 0.751
0.000 0.758 0.254
0.500 0.244 0.249
0.000 0.242 0.746
0.000 0.000 0.000
0.500 0.500 0.000
```

Calculated values
Magnetization (Bohr magnetons per cell): 0.00
Formation energy without anion corrections (eV/atom): -2.055
D(E_F) (states/eV per cell): 3.28